1.
A relaxed structure of Te2MoBr, computed with PBE.

It has space group P4/mmm (No. 123), with a = 3.255 Å, b = 3.255 Å, c = 9.860 Å, α = 90.00°, β = 90.00° and γ = 90.00°. The inequivalent atoms are Te at (0.000, 0.000, 0.173), Mo at (0.500, 0.500, 0.000) and Br at (0.500, 0.500, 0.500).

As for the crystal system: tetragonal.

2.
A relaxed structure of LaAgMoPt, computed with PBE.

It has space group Pm (No. 6), with a = 3.521 Å, b = 4.585 Å, c = 5.358 Å, α = 90.00°, β = 100.80° and γ = 90.00°. The inequivalent atoms are La at (0.000, 0.000, 0.000), Ag at (0.575, 0.500, 0.196), Mo at (0.231, 0.500, 0.625) and Pt at (0.511, 0.000, 0.523).

The energy relative to the elements is 67.4 meV per atom. As for the crystal system: monoclinic.

Number 1: energy above the most stable polymorph in this dataset 79 meV per atom, total magnetization 0.000 μB/atom, electronic total energy -18.81 eV for the cell shown. Number 2: energy above the most stable polymorph in this dataset 177 meV per atom, total magnetization 0.000 μB/atom, electronic total energy -24.38 eV for the cell shown.